An optimized crystal structure of Ba5Tm2ZrAl2O13. Source: the Alexandria database, functional PBE.

Computed properties:
Raw formation energy in eV/f.u.: -71.555
Size of the total moment in μB per cell: 0.00
SG: P6_3/mmc
Fermi-level density of states in states/eV/cell: 0.0

Lattice parameters (Å, degrees): 6.003 6.003 25.091 90.00 90.00 120.00
Fractional coordinates of all 46 atoms:
O 0.164 0.836 0.449
O 0.164 0.327 0.051
Tm 0.333 0.667 0.104
Zr 0.000 0.000 0.500
O 0.327 0.164 0.551
Tm 0.667 0.333 0.604
Ba 0.333 0.667 0.250
O 0.673 0.836 0.449
O 0.836 0.673 0.949
Tm 0.333 0.667 0.396
O 0.009 0.505 0.842
Ba 0.000 0.000 0.137
Ba 0.667 0.333 0.458
O 0.505 0.009 0.342
O 0.836 0.673 0.551
Al 0.333 0.667 0.681
O 0.836 0.164 0.551
Al 0.667 0.333 0.319
Ba 0.000 0.000 0.863
O 0.495 0.991 0.842
Ba 0.000 0.000 0.637
Zr 0.000 0.000 0.000
O 0.836 0.164 0.949
Ba 0.333 0.667 0.542
O 0.505 0.009 0.158
Ba 0.667 0.333 0.042
O 0.991 0.495 0.158
O 0.333 0.667 0.750
Ba 0.000 0.000 0.363
O 0.505 0.495 0.158
Al 0.667 0.333 0.181
O 0.164 0.836 0.051
Ba 0.333 0.667 0.958
O 0.505 0.495 0.342
O 0.991 0.495 0.342
O 0.495 0.991 0.658
O 0.667 0.333 0.250
O 0.495 0.505 0.658
O 0.673 0.836 0.051
O 0.009 0.505 0.658
Al 0.333 0.667 0.819
O 0.495 0.505 0.842
Tm 0.667 0.333 0.896
Ba 0.667 0.333 0.750
O 0.164 0.327 0.449
O 0.327 0.164 0.949



An optimized crystal structure of ErScSb. Source: the Alexandria database, functional PBE.

Computed properties:
Raw formation energy in eV/f.u.: -2.508
Size of the total moment in μB per cell: 0.57
SG: P4/nmm
Fermi-level density of states in states/eV/cell: 4.5

Lattice parameters (Å, degrees): 4.324 4.324 8.128 90.00 90.00 90.00
Fractional coordinates of all 6 atoms:
Er 0.500 0.000 0.153
Sb 0.500 0.000 0.769
Sc 0.000 0.000 0.500
Er 0.000 0.500 0.847
Sb 0.000 0.500 0.231
Sc 0.500 0.500 0.500



An optimized crystal structure of TcPbN3. Source: the Alexandria database, functional PBE.

Computed properties:
Raw formation energy in eV/f.u.: 12.964
Size of the total moment in μB per cell: 2.26
SG: Pm-3m
Fermi-level density of states in states/eV/cell: 3.4

Lattice parameters (Å, degrees): 4.227 4.227 4.227 90.00 90.00 90.00
Fractional coordinates of all 5 atoms:
N 0.000 0.500 0.000
Tc 0.500 0.500 0.500
N 0.500 0.000 0.000
N 0.000 0.000 0.500
Pb 0.000 0.000 0.000



An optimized crystal structure of SrInSnPb. Source: the Alexandria database, functional PBE.

Computed properties:
Distance to the lowest polymorph of the same formula in eV per formula unit: 0.000
ΔE_f in eV/atom: -0.35
Size of the total moment in μB per cell: 0.00
SG: Pmmm
Fermi-level density of states in states/eV/cell: 2.6

Lattice parameters (Å, degrees): 4.838 4.940 4.995 90.00 90.00 90.00
Fractional coordinates of all 4 atoms:
In 0.500 0.500 0.000
Pb 0.000 0.500 0.500
Sn 0.000 0.000 0.000
Sr 0.500 0.000 0.500



An optimized crystal structure of BeAl2SbTe. Source: the Alexandria database, functional PBE.

Computed properties:
Raw formation energy in eV/f.u.: 5.814
Size of the total moment in μB per cell: 0.00
SG: P4/mmm
Fermi-level density of states in states/eV/cell: 2.2

Lattice parameters (Å, degrees): 5.390 5.847 5.390 90.00 90.00 90.00
Fractional coordinates of all 5 atoms:
Te 0.000 0.500 0.000
Sb 0.000 0.000 0.000
Al 0.500 0.000 0.000
Be 0.500 0.500 0.500
Al 0.000 0.000 0.500



| no. | VASP energy (eV for the cell shown) |
| --- | --- |
| 1 | -341.20 |
| 2 | -35.05 |
| 3 | -26.09 |
| 4 | -13.51 |
| 5 | -12.66 |